# 1
CsHgAuO2 | PBE-GGA | relaxed

Calculated values
Crystal system: orthorhombic
V in Å³ per cell: 237.1
Spin magnetization in μB per atom: 0.000
Space group: Cmme
Raw formation energy in kJ/mol of formula units: -266.2

abc: 7.5060 7.5060 5.1433
angles: 90.00 90.00 125.11
Closest atoms and distances in Å follow each position.
Positions (direct):
1 Cs 0.2500 0.7500 0.7566  2 O 3.01
2 Cs 0.7500 0.2500 0.2434  2 O 3.01
3 Hg 0.2500 0.2500 0.0000  4 O 2.37
4 Hg 0.7500 0.7500 0.0000  4 O 2.37
5 Au 0.0000 0.0000 0.5000  2 O 2.06
6 Au 0.5000 0.5000 0.5000  2 O 2.06
7 O 0.0977 0.9023 0.1892  1 Au 2.06
8 O 0.4023 0.5977 0.1892  1 Au 2.06
9 O 0.5977 0.4023 0.8108  1 Au 2.06
10 O 0.9023 0.0977 0.8108  1 Au 2.06



# 2
CsHg2PAu | PBE-GGA | relaxed

Calculated values
Crystal system: tetragonal
Fermi-level density of states in states/eV/f.u.: 1.31
V in Å³ per cell: 151.4
Spin magnetization in μB per atom: 0.000
Space group: P4/mmm
Formation energy in eV per atom: -0.03

abc: 5.5299 5.5299 4.9506
angles: 90.00 90.00 90.00
Closest atoms and distances in Å follow each position.
Positions (direct):
1 Cs 0.0000 0.0000 0.0000  8 Hg 3.71, 4 Au 3.91
2 Hg 0.0000 0.5000 0.5000  2 P 2.76
3 Hg 0.5000 0.0000 0.5000  2 P 2.76
4 P 0.5000 0.5000 0.5000  2 Au 2.48, 4 Hg 2.76
5 Au 0.5000 0.5000 0.0000  2 P 2.48



# 3
CsHg2Pb2Au2 | PBE-GGA | relaxed

Calculated values
Crystal system: trigonal
Fermi-level density of states in states/eV/f.u.: 3.70
V in Å³ per cell: 222.4
Spin magnetization in μB per atom: 0.000
Space group: R-3m
Formation energy in eV per atom: -0.11

abc: 11.4084 11.4084 11.4084
angles: 24.38 24.38 24.38
Closest atoms and distances in Å follow each position.
Positions (direct):
1 Cs 0.0000 0.0000 0.0000  6 Hg 3.77
2 Hg 0.2568 0.2568 0.2568  3 Au 2.91
3 Hg 0.7432 0.7432 0.7432  3 Au 2.91
4 Pb 0.1383 0.1383 0.1383  3 Au 3.02, 3 Pb 3.36
5 Pb 0.8617 0.8617 0.8617  3 Au 3.02, 3 Pb 3.36
6 Au 0.4359 0.4359 0.4359  3 Hg 2.91, 3 Pb 3.02
7 Au 0.5641 0.5641 0.5641  3 Hg 2.91, 3 Pb 3.02